Crystalline ReRu3Rh3 at its relaxed geometry, computed with PBE.

Structure (POSCAR):
```
ReRu3Rh3
1.0
-1.0529 2.2762 3.5386
0.4585 -6.0291 4.0146
5.8553 4.1825 -0.9482
Rh Ru Re
6 6 2
direct
0.2500 0.1938 0.2411
0.7500 0.8062 0.7589
0.7500 0.2411 0.0473
0.2500 0.7589 0.9527
0.2500 0.0473 0.8062
0.7500 0.9527 0.1938
0.2500 0.4776 0.0948
0.7500 0.3828 0.4776
0.7500 0.5224 0.9052
0.2500 0.6172 0.5224
0.7500 0.0948 0.6172
0.2500 0.9052 0.3828
0.2500 0.3333 0.6667
0.7500 0.6667 0.3333
```

Calculated values
final energy = -8.953 eV/atom
energy of formation = -48 meV/atom
density of states at the Fermi level = 7.1 states/eV/f.u.
volume = 198 Å³/cell

***

Crystalline MgSbPb2 at its relaxed geometry, computed with PBE.

Structure (POSCAR):
```
MgSbPb2
1.0
-0.3590 -5.1429 -1.1876
3.9973 -0.7948 2.2332
-2.3493 -0.7458 3.9398
Pb Sb Mg
2 1 1
direct
0.0000 0.5000 0.5000
0.0000 0.0000 0.0000
0.5000 0.5000 0.0000
0.5000 0.0000 0.5000
```

Calculated values
final energy = -3.270 eV/atom
density of states at the Fermi level = 2.2 states/eV/f.u.
ΔE to the lowest computed polymorph = 4.4 kJ per mole of atoms
volume = 114 Å³/cell
ΔE_f (raw) = 0.013 eV per atom

***

Crystalline LiGe2Se3 at its relaxed geometry, computed with PBE.

Structure (POSCAR):
```
LiGe2Se3
1.0
-0.0305 -2.9096 -2.6518
3.3749 -1.6291 1.1921
-6.0211 -2.7074 6.2403
Li Se Ge
1 3 2
direct
0.4360 0.4360 0.8740
0.5744 0.5768 0.2075
0.2409 0.2433 0.5404
0.9029 0.9029 0.8739
0.8287 0.8307 0.5802
0.1225 0.1244 0.1678
```

Calculated values
final energy = -4.037 eV/atom
density of states at the Fermi level = 1.8 states/eV/f.u.
ΔE to the lowest computed polymorph = 0.0 kJ per mole of atoms
volume = 133 Å³/cell
ΔE_f (raw) = -0.437 eV per atom

***

Crystalline Y2Pu at its relaxed geometry, computed with PBE.

Structure (POSCAR):
```
Y2Pu
1.0
-3.4075 0.8416 -0.2893
-0.8004 -2.4061 2.4440
2.9238 5.9161 4.2405
Y Pu
2 1
direct
0.8361 0.8361 0.6722
0.1639 0.1639 0.3278
0.5000 0.5000 0.0000
```

Calculated values
final energy = -8.966 eV/atom
energy of formation = 121 meV/atom
density of states at the Fermi level = 6.8 states/eV/f.u.
volume = 92 Å³/cell

***

Crystalline La8Ge5Te at its relaxed geometry, computed with PBE.

Structure (POSCAR):
```
La8Ge5Te
1.0
7.6933 0.0000 -2.7005
-3.8124 6.6717 -2.7263
-0.0684 0.0000 8.1532
La Ge Te
8 5 1
direct
0.1239 0.7538 0.5048
0.4952 0.6191 0.2490
0.6299 0.3809 0.8761
0.6392 0.9013 0.8828
0.7510 0.2462 0.3701
0.1172 0.7564 0.0185
0.9815 0.0987 0.7380
0.2620 0.2436 0.3608
0.5000 0.0000 0.5000
0.3727 0.1206 0.9954
0.7478 0.6227 0.6273
0.0046 0.3773 0.1252
0.8748 0.8794 0.2522
0.2500 0.5000 0.7500
```

Calculated values
final energy = -5.613 eV/atom
density of states at the Fermi level = 11.6 states/eV/f.u.
volume = 417 Å³/cell
ΔE_f (raw) = -0.923 eV per atom

***

Crystalline Tb2NdIn at its relaxed geometry, computed with PBE.

Structure (POSCAR):
```
Tb2NdIn
1.0
4.8715 0.0000 0.0000
0.0000 4.9228 0.0000
0.0000 0.0000 4.9228
Nd In Tb
1 1 2
direct
0.5000 0.5000 0.5000
0.5000 0.0000 0.0000
0.0000 0.5000 0.0000
0.0000 0.0000 0.5000
```

Calculated values
final energy = -4.459 eV/atom
energy of formation = -267 meV/atom
density of states at the Fermi level = 6.3 states/eV/f.u.
ΔE to the lowest computed polymorph = 0.0 kJ per mole of atoms
volume = 118 Å³/cell

***

Crystalline Tm2SbPd at its relaxed geometry, computed with PBE.

Structure (POSCAR):
```
Tm2SbPd
1.0
-0.6906 0.0970 3.7548
4.8688 -0.1823 0.9003
0.2021 4.9497 -0.0907
Pd Tm Sb
1 2 1
direct
0.5000 0.0000 0.0000
0.0000 0.5000 0.0000
0.0000 0.0000 0.5000
0.5000 0.5000 0.5000
```

Calculated values
final energy = -5.371 eV/atom
density of states at the Fermi level = 3.0 states/eV/f.u.
volume = 94 Å³/cell
ΔE_f (raw) = -0.807 eV per atom

***

Crystalline Ta2Tl2Zn at its relaxed geometry, computed with PBE.

Structure (POSCAR):
```
Ta2Tl2Zn
1.0
-1.9142 1.9142 7.8516
1.9142 -1.9142 7.8516
1.9142 1.9142 -7.8516
Ta Zn Tl
2 1 2
direct
0.7500 0.2500 0.5000
0.2500 0.7500 0.5000
0.0000 0.0000 0.0000
0.4034 0.4034 0.0000
0.5966 0.5966 0.0000
```

Calculated values
final energy = -5.164 eV/atom
energy of formation = 779 meV/atom
density of states at the Fermi level = 4.8 states/eV/f.u.
volume = 115 Å³/cell

***

Crystalline CeEuAl2 at its relaxed geometry, computed with PBE.

Structure (POSCAR):
```
CeEuAl2
1.0
5.2460 0.0000 0.0000
2.6230 4.5432 0.0000
2.6230 1.5144 4.2833
Al Eu Ce
2 1 1
direct
0.2500 0.2500 0.2500
0.7500 0.7500 0.7500
0.0000 0.0000 0.0000
0.5000 0.5000 0.5000
```

Calculated values
final energy = -6.140 eV/atom
energy of formation = -217 meV/atom
density of states at the Fermi level = 9.0 states/eV/f.u.
ΔE to the lowest computed polymorph = 0.0 kJ per mole of atoms
volume = 102 Å³/cell

***

Crystalline NaB2H7 at its relaxed geometry, computed with PBE.

Structure (POSCAR):
```
NaB2H7
1.0
-2.5468 -0.0821 -1.4632
-1.1519 -6.3034 2.3588
-0.9514 6.6386 1.2832
H B Na
7 2 1
direct
0.5000 0.4044 0.0932
0.0000 0.5907 0.4093
0.5000 0.0932 0.4044
0.5000 0.9068 0.5956
0.0000 0.4093 0.5907
0.5000 0.5000 0.5000
0.5000 0.5956 0.9068
0.5000 0.3897 0.6103
0.5000 0.6103 0.3897
0.0000 0.0000 0.0000
```

Calculated values
final energy = -3.714 eV/atom
density of states at the Fermi level = 0.9 states/eV/f.u.
volume = 81 Å³/cell

***

Crystalline LaTb2Nd at its relaxed geometry, computed with PBE.

Structure (POSCAR):
```
LaTb2Nd
1.0
-3.3144 -1.2331 0.9384
1.5158 -2.1198 2.5680
-0.8950 7.5525 6.7627
Nd Tb La
1 2 1
direct
0.5000 0.5000 0.0000
0.0000 0.0000 0.2476
0.0000 0.0000 0.7524
0.5000 0.5000 0.5000
```

Calculated values
final energy = -4.716 eV/atom
energy of formation = 23 meV/atom
density of states at the Fermi level = 6.6 states/eV/f.u.
ΔE to the lowest computed polymorph = 1.1 kJ per mole of atoms
volume = 136 Å³/cell

***

Crystalline ReAg3 at its relaxed geometry, computed with PBE.

Structure (POSCAR):
```
ReAg3
1.0
4.6120 0.0000 0.0000
2.3060 3.9941 0.0000
2.3060 1.3314 3.7657
Ag Re
3 1
direct
0.0000 0.0000 0.0000
0.7500 0.7500 0.7500
0.5000 0.5000 0.5000
0.2500 0.2500 0.2500
```

Calculated values
final energy = -4.334 eV/atom
energy of formation = 917 meV/atom
density of states at the Fermi level = 3.9 states/eV/f.u.
ΔE to the lowest computed polymorph = 51.0 kJ per mole of atoms
volume = 69 Å³/cell